La4PrSn2 | PBE | optimized geometry

abc: 5.017 6.978 6.978
angles: 99.10 90.00 90.00
Positions (direct):
1 Sn 0.000 0.280 0.720
2 Sn 0.000 0.720 0.280
3 La 0.000 0.211 0.211
4 La 0.500 0.000 0.500
5 La 0.500 0.500 0.000
6 La 0.000 0.789 0.789
7 Pr 0.500 0.500 0.500

total energy = -5.10 eV per atom
N(E_F) = 8.2 states/eV/cell
formation enthalpy at 0 K = -0.454 eV per atom
distance to the lowest polymorph of the same formula = 0.00 eV per formula unit